Density functional theory data (GGA-PBE) for crystalline LiNiAgHg at its relaxed geometry.

Cell lengths 6.303, 6.303, 6.303 Å; angles 90.00, 90.00, 90.00 degrees
Space group F-43m (No. 216)
Unique sites:
Li: 0.000 0.000 0.000
Ni: 0.000 0.000 0.500
Ag: 0.250 0.250 0.250
Hg: 0.250 0.250 0.750

Crystal system: cubic
Formation energy, meV/atom: -52
DOS at the Fermi energy, states/eV/f.u.: 3.2